# 1
The following is a DFT calculation (PBE) of an optimized crystal structure of Zr2BeSi. Values from VASP.

```
&SYSTEM
  ibrav = 0, nat = 4, ntyp = 3
/
ATOMIC_SPECIES
Zr 91.22 Zr.upf
Be 9.01 Be.upf
Si 28.09 Si.upf
ATOMIC_POSITIONS crystal
Zr 0.246 0.246 0.246
Zr 0.754 0.754 0.754
Be 0.500 0.500 0.500
Si 0.000 0.000 0.000
CELL_PARAMETERS angstrom
2.093 1.208 4.712
-2.093 1.208 4.712
0.000 -2.417 4.712
```

Summary:
Relative energy among the computed polymorphs   390 meV/atom
Formation energy without anion corrections   -0.258 eV per atom
Space group   R-3m
DOS at the Fermi energy   2.5 states/eV/cell

=====

# 2
The following is a DFT calculation (PBE) of an optimized crystal structure of ScAlZn2. Values from VASP.

```
&SYSTEM
  ibrav = 0, nat = 4, ntyp = 3
/
ATOMIC_SPECIES
Sc 44.96 Sc.upf
Al 26.98 Al.upf
Zn 65.41 Zn.upf
ATOMIC_POSITIONS crystal
Sc 0.000 0.000 0.000
Al 0.250 0.250 0.250
Zn 0.500 0.500 0.500
Zn 0.750 0.750 0.750
CELL_PARAMETERS angstrom
0.000 3.238 3.238
3.238 0.000 3.238
3.238 3.238 0.000
```

Summary:
Energy   -0.1228 hartree per atom
Space group   F-43m
DOS at the Fermi energy   2.2 states/eV/cell

=====

# 3
The following is a DFT calculation (PBE) of an optimized crystal structure of TbCeNiPt. Values from VASP.

```
&SYSTEM
  ibrav = 0, nat = 4, ntyp = 4
/
ATOMIC_SPECIES
Tb 158.93 Tb.upf
Ce 140.12 Ce.upf
Ni 58.69 Ni.upf
Pt 195.08 Pt.upf
ATOMIC_POSITIONS crystal
Tb 0.000 0.000 0.000
Ce 0.500 0.500 0.500
Ni 0.250 0.250 0.250
Pt 0.750 0.750 0.750
CELL_PARAMETERS angstrom
0.000 3.490 3.490
3.490 0.000 3.490
3.490 3.490 0.000
```

Summary:
Relative energy among the computed polymorphs   109 meV/atom
Space group   F-43m
DOS at the Fermi energy   6.6 states/eV/cell

=====

Question: What is the formula in the first record?
Answer: Zr2BeSi